No. 1
## Y2MgHRh (PBE)

Data for crystalline Y2MgHRh at its relaxed geometry.

The structure in POSCAR format:
```
Y2MgHRh
1.0
4.820 0.000 0.000
0.000 4.820 0.000
0.000 0.000 3.972
Mg Rh Y H
1 1 2 1
Direct
0.000 0.000 0.500 Mg
0.500 0.500 0.500 Rh
0.000 0.500 0.000 Y
0.500 0.000 0.000 Y
0.000 0.000 0.000 H
```

Output
V = 92.3 Å³ per cell
Space-group type = P4/mmm, No. 123
Excess energy over the best structure of this formula in the dataset = 34 meV/atom

No. 2
## Rb3AsI4 (PBE)

Data for crystalline Rb3AsI4 at its relaxed geometry.

The structure in POSCAR format:
```
Rb3AsI4
1.0
6.741 0.000 0.000
0.000 7.530 0.000
0.000 0.000 17.373
I Rb As
8 6 2
Direct
0.991 0.975 0.000 I
0.986 0.732 0.500 I
0.156 0.252 0.299 I
0.656 0.748 0.799 I
0.156 0.252 0.701 I
0.656 0.748 0.201 I
0.486 0.268 0.000 I
0.491 0.025 0.500 I
0.500 0.766 0.000 Rb
0.675 0.251 0.205 Rb
0.175 0.749 0.295 Rb
0.000 0.234 0.500 Rb
0.175 0.749 0.705 Rb
0.675 0.251 0.795 Rb
0.879 0.311 0.000 As
0.379 0.689 0.500 As
```

Output
V = 881.9 Å³ per cell
Space-group type = Pmn2_1, No. 31
Formation energy without anion corrections = -921 meV/atom

No. 3
## BPb (PBE)

Data for crystalline BPb at its relaxed geometry.

The structure in POSCAR format:
```
BPb
1.0
7.541 0.000 0.000
0.000 7.541 0.000
0.000 0.000 7.541
B Pb
8 8
Direct
0.156 0.844 0.844 B
0.656 0.344 0.344 B
0.844 0.844 0.156 B
0.844 0.156 0.844 B
0.344 0.344 0.656 B
0.344 0.656 0.344 B
0.656 0.656 0.656 B
0.156 0.156 0.156 B
0.168 0.832 0.168 Pb
0.332 0.332 0.332 Pb
0.168 0.168 0.832 Pb
0.332 0.668 0.668 Pb
0.668 0.332 0.668 Pb
0.668 0.668 0.332 Pb
0.832 0.168 0.168 Pb
0.832 0.832 0.832 Pb
```

Output
V = 428.8 Å³ per cell
Space-group type = I-43m, No. 217
Excess energy over the best structure of this formula in the dataset = 531 meV/atom
Formation energy = 1.3418 eV/atom

No. 4
## SrMg5Hg6 (PBE)

Data for crystalline SrMg5Hg6 at its relaxed geometry.

The structure in POSCAR format:
```
SrMg5Hg6
1.0
5.005 0.000 0.014
2.503 7.364 0.007
-0.022 0.000 7.607
Hg Sr Mg
6 1 5
Direct
0.500 0.000 0.271 Hg
0.500 0.000 0.729 Hg
0.827 0.346 0.735 Hg
0.173 0.654 0.735 Hg
0.173 0.654 0.265 Hg
0.827 0.346 0.265 Hg
0.000 0.000 0.000 Sr
0.326 0.349 0.000 Mg
0.664 0.671 0.500 Mg
0.674 0.651 0.000 Mg
0.000 0.000 0.500 Mg
0.336 0.329 0.500 Mg
```

Output
V = 280.4 Å³ per cell
Space-group type = Cmmm, No. 65
Formation energy = -0.2629 eV/atom

No. 5
## CaPm3Pr12 (PBE)

Data for crystalline CaPm3Pr12 at its relaxed geometry.

The structure in POSCAR format:
```
CaPm3Pr12
1.0
-0.480 -1.589 4.981
5.228 -0.235 0.429
0.370 19.954 6.401
Pr Ca Pm
12 1 3
Direct
0.000 0.500 0.376 Pr
0.000 0.500 0.624 Pr
0.500 0.000 0.872 Pr
0.500 0.000 0.376 Pr
0.500 0.500 0.250 Pr
0.000 0.500 0.128 Pr
0.500 0.000 0.624 Pr
0.500 0.500 0.500 Pr
0.000 0.500 0.872 Pr
0.500 0.500 0.750 Pr
0.500 0.000 0.128 Pr
0.500 0.500 0.000 Pr
0.000 0.000 0.000 Ca
0.000 0.000 0.750 Pm
0.000 0.000 0.250 Pm
0.000 0.000 0.500 Pm
```

Output
V = 577.8 Å³ per cell
Space-group type = P4/mmm, No. 123
Formation energy = 0.0222 eV/atom

No. 6
## LaFe3Pt (PBE)

Data for crystalline LaFe3Pt at its relaxed geometry.

The structure in POSCAR format:
```
LaFe3Pt
1.0
4.759 0.000 0.000
0.000 4.759 0.000
0.000 0.000 4.759
Fe Pt La
3 1 1
Direct
0.000 0.000 0.500 Fe
0.000 0.500 0.000 Fe
0.500 0.000 0.000 Fe
0.000 0.000 0.000 Pt
0.500 0.500 0.500 La
```

Output
V = 107.8 Å³ per cell
Space-group type = Pm-3m, No. 221
Excess energy over the best structure of this formula in the dataset = 0 meV/atom
Formation energy = 0.4780 eV/atom

No. 7
## Cs3KY (PBE)

Data for crystalline Cs3KY at its relaxed geometry.

The structure in POSCAR format:
```
Cs3KY
1.0
-2.812 6.758 2.995
-5.685 -4.025 3.744
4.724 -0.822 6.289
K Cs Y
1 3 1
Direct
0.500 0.500 0.500 K
0.500 0.000 0.000 Cs
0.000 0.500 0.000 Cs
0.000 0.000 0.500 Cs
0.000 0.000 0.000 Y
```

Output
V = 494.7 Å³ per cell
Space-group type = Pm-3m, No. 221
Excess energy over the best structure of this formula in the dataset = 0 meV/atom
Formation energy = 0.6522 eV/atom

No. 8
## GaHgBiTe2 (PBE)

Data for crystalline GaHgBiTe2 at its relaxed geometry.

The structure in POSCAR format:
```
GaHgBiTe2
1.0
-0.603 5.602 -1.196
-2.880 0.711 4.783
4.911 1.124 2.790
Bi Te Ga Hg
1 2 1 1
Direct
0.000 0.500 0.000 Bi
0.000 0.000 0.500 Te
0.500 0.000 0.000 Te
0.500 0.500 0.500 Ga
0.000 0.000 0.000 Hg
```

Output
V = 186.7 Å³ per cell
Space-group type = P4/mmm, No. 123
Formation energy without anion corrections = 547 meV/atom

No. 9
## K2NaClF2 (PBE)

Data for crystalline K2NaClF2 at its relaxed geometry.

The structure in POSCAR format:
```
K2NaClF2
1.0
-0.582 -0.046 -4.322
0.257 -4.354 0.012
-6.742 -0.395 0.912
F Cl K Na
2 1 2 1
Direct
0.500 0.000 0.000 F
0.000 0.500 0.000 F
0.000 0.000 0.500 Cl
0.500 0.500 0.243 K
0.500 0.500 0.757 K
0.000 0.000 0.000 Na
```

Output
V = 129.7 Å³ per cell
Space-group type = P4/mmm, No. 123
Formation energy without anion corrections = -2405 meV/atom

No. 10
## Al2CuW (PBE)

Data for crystalline Al2CuW at its relaxed geometry.

The structure in POSCAR format:
```
Al2CuW
1.0
4.143 0.000 0.000
0.000 2.741 -0.045
0.000 0.463 5.228
Al W Cu
2 1 1
Direct
0.000 0.320 0.506 Al
0.000 0.180 0.994 Al
0.500 0.750 0.750 W
0.500 0.250 0.250 Cu
```

Output
V = 59.5 Å³ per cell
Space-group type = P2/m, No. 10
Excess energy over the best structure of this formula in the dataset = 96 meV/atom
Formation energy = 0.0064 eV/atom